DFT (PBE-GGA) results for a relaxed structure of ReH3S.

Values from the calculation:
Excess energy over the best structure of this formula in the dataset = 684.7 meV/atom
DFT total energy = -3.7768 eV per atom

extended XYZ file:
```
5
Lattice="3.3729 0.0000 0.0000 0.0000 3.3729 0.0000 0.0000 0.0000 3.3729" Properties=species:S:1:pos:R:3 pbc="T T T"
Re 0.0000 0.0000 0.0000
H 0.0000 1.6864 1.6864
H 1.6864 0.0000 1.6864
H 1.6864 1.6864 0.0000
S 1.6864 1.6864 1.6864
```

DFT (PBE-GGA) results for a relaxed structure of Re2HS2.

Values from the calculation:
Excess energy over the best structure of this formula in the dataset = 0.0 meV/atom
DFT total energy = -6.8312 eV per atom

extended XYZ file:
```
5
Lattice="-2.3745 2.3745 3.2884 2.3745 -2.3745 3.2884 2.3745 2.3745 -3.2884" Properties=species:S:1:pos:R:3 pbc="T T T"
Re 0.0000 0.0000 1.1494
Re 0.0000 0.0000 5.4274
H 0.0000 0.0000 3.2884
S 2.3745 0.0000 1.6442
S 0.0000 2.3745 1.6442
```

DFT (PBE-GGA) results for a relaxed structure of Re3HS.

Values from the calculation:
Excess energy over the best structure of this formula in the dataset = 0.0 meV/atom
DFT total energy = -7.9925 eV per atom

extended XYZ file:
```
5
Lattice="3.9668 0.0000 0.0000 0.0000 3.9668 0.0000 0.0000 0.0000 3.9668" Properties=species:S:1:pos:R:3 pbc="T T T"
Re 0.0000 0.0000 1.9834
Re 0.0000 1.9834 0.0000
Re 1.9834 0.0000 0.0000
H 0.0000 0.0000 0.0000
S 1.9834 1.9834 1.9834
```

DFT (PBE-GGA) results for a relaxed structure of Re2HS2.

Values from the calculation:
Excess energy over the best structure of this formula in the dataset = 468.9 meV/atom
DFT total energy = -6.3623 eV per atom

extended XYZ file:
```
10
Lattice="6.8339 0.0000 0.0000 0.0000 6.8339 0.0000 0.0000 0.0000 2.8783" Properties=species:S:1:pos:R:3 pbc="T T T"
Re 1.0171 2.3999 0.0000
Re 2.3999 5.8169 0.0000
Re 4.4340 1.0171 0.0000
Re 5.8169 4.4340 0.0000
H 0.0000 0.0000 1.4391
H 3.4170 3.4170 1.4391
S 0.9983 4.4152 1.4391
S 2.4187 0.9983 1.4391
S 4.4152 5.8356 1.4391
S 5.8356 2.4187 1.4391
```